Entry 1:
Below is an optimized crystal structure of Ba3Ge2Pb, with properties calculated at the GGA-PBE level.

Output
As for the formation energy: -0.408 eV per atom. The space group is P2_1/c (14). As for the total magnetization: 0.00 μB per formula unit. The calculation puts the density of states at the Fermi level at 12.23 states/eV/cell.

Unit cell a=9.280 b=10.606 c=11.284 alpha=90.00 beta=118.62 gamma=90.00
Fractional coordinates of all 24 atoms:
Ba  0.224  0.212  0.341
Ba  0.224  0.288  0.841
Ba  0.240  0.550  0.141
Ba  0.240  0.950  0.641
Ba  0.252  0.556  0.556
Ba  0.252  0.944  0.056
Ba  0.748  0.056  0.944
Ba  0.748  0.444  0.444
Ba  0.760  0.050  0.359
Ba  0.760  0.450  0.859
Ba  0.776  0.712  0.159
Ba  0.776  0.788  0.659
Ge  0.052  0.567  0.753
Ge  0.052  0.933  0.253
Ge  0.448  0.249  0.197
Ge  0.448  0.251  0.697
Ge  0.552  0.749  0.303
Ge  0.552  0.751  0.803
Ge  0.948  0.067  0.747
Ge  0.948  0.433  0.247
Pb  0.375  0.642  0.916
Pb  0.375  0.858  0.416
Pb  0.625  0.142  0.584
Pb  0.625  0.358  0.084

Entry 2:
Below is an optimized crystal structure of BiPbO3, with properties calculated at the GGA-PBE level.

Output
The formation energy without anion corrections is -98.7 kJ/mol of atoms. The space group is R3m (160). As for the total magnetization: 0.00 μB per formula unit. The calculation puts the density of states at the Fermi level at 1.57 states/eV/cell.

Unit cell a=4.457 b=4.457 c=4.457 alpha=88.54 beta=88.54 gamma=88.54
Fractional coordinates of all 5 atoms:
Bi  0.000  0.000  0.000
Pb  0.577  0.577  0.577
O  0.488  0.948  0.948
O  0.948  0.488  0.948
O  0.948  0.948  0.488

Entry 3:
Below is an optimized crystal structure of YMn2Re, with properties calculated at the GGA-PBE level.

Output
For the energy above the most stable polymorph in this dataset, the calculation gives 18.3 kJ per mole of atoms. As for the formation energy: 0.343 eV per atom. The space group is P2/m (10). As for the total magnetization: 3.79 μB per formula unit. The calculation puts the density of states at the Fermi level at 4.69 states/eV/cell.

Unit cell a=2.883 b=3.920 c=6.085 alpha=90.00 beta=102.52 gamma=90.00
Fractional coordinates of all 4 atoms:
Y  0.000  0.000  0.000
Mn  0.439  0.500  0.687
Mn  0.561  0.500  0.313
Re  0.000  0.000  0.500

Entry 4:
Below is an optimized crystal structure of K2Ag2TeO6, with properties calculated at the GGA-PBE level.

Output
The formation energy without anion corrections is -76.9 kJ/mol of atoms. The space group is R-3m (166). As for the total magnetization: 1.84 μB per formula unit. The calculation puts the density of states at the Fermi level at 4.87 states/eV/cell.

Unit cell a=6.786 b=6.786 c=6.786 alpha=54.97 beta=54.97 gamma=54.97
Fractional coordinates of all 11 atoms:
K  0.208  0.208  0.208
K  0.792  0.792  0.792
Ag  0.396  0.396  0.396
Ag  0.604  0.604  0.604
Te  0.000  0.000  0.000
O  0.209  0.788  0.788
O  0.212  0.212  0.791
O  0.212  0.791  0.212
O  0.788  0.209  0.788
O  0.788  0.788  0.209
O  0.791  0.212  0.212

Entry 5:
Below is an optimized crystal structure of Ac2LaHg, with properties calculated at the GGA-PBE level.

Output
For the energy above the most stable polymorph in this dataset, the calculation gives 27.4 kJ per mole of atoms. As for the formation energy: 0.057 eV per atom. The space group is R-3m (166). As for the total magnetization: 0.02 μB per formula unit. The calculation puts the density of states at the Fermi level at 6.76 states/eV/cell.

Unit cell a=12.749 b=12.749 c=12.749 alpha=17.15 beta=17.15 gamma=17.15
Fractional coordinates of all 4 atoms:
Ac  0.097  0.097  0.097
Ac  0.903  0.903  0.903
La  0.000  0.000  0.000
Hg  0.500  0.500  0.500

Entry 6:
Below is an optimized crystal structure of Ce2DyTa, with properties calculated at the GGA-PBE level.

Output
As for the formation energy: 0.421 eV per atom. The space group is R-3m (166). As for the total magnetization: 1.30 μB per formula unit. The calculation puts the density of states at the Fermi level at 11.39 states/eV/cell.

Unit cell a=5.432 b=5.432 c=5.432 alpha=56.43 beta=56.43 gamma=56.43
Fractional coordinates of all 4 atoms:
Ce  0.241  0.241  0.241
Ce  0.759  0.759  0.759
Dy  0.000  0.000  0.000
Ta  0.500  0.500  0.500

Entry 7:
Below is an optimized crystal structure of UPAu, with properties calculated at the GGA-PBE level.

Output
As for the formation energy: -0.512 eV per atom. The space group is P4/nmm (129). As for the total magnetization: 2.15 μB per formula unit. The calculation puts the density of states at the Fermi level at 11.90 states/eV/cell.

Unit cell a=3.891 b=3.891 c=8.275 alpha=90.00 beta=90.00 gamma=90.00
Fractional coordinates of all 6 atoms:
U  0.250  0.250  0.191
U  0.750  0.750  0.809
P  0.250  0.250  0.860
P  0.750  0.750  0.140
Au  0.250  0.750  0.500
Au  0.750  0.250  0.500

Entry 8:
Below is an optimized crystal structure of Sr2AgPt, with properties calculated at the GGA-PBE level.

Output
For the energy above the most stable polymorph in this dataset, the calculation gives 1.7 kJ per mole of atoms. As for the formation energy: -0.582 eV per atom. The space group is Pm (6). As for the total magnetization: 0.00 μB per formula unit. The calculation puts the density of states at the Fermi level at 1.54 states/eV/cell.

Unit cell a=4.309 b=4.675 c=6.145 alpha=90.00 beta=110.43 gamma=90.00
Fractional coordinates of all 4 atoms:
Sr  0.000  0.000  0.000
Sr  0.278  0.500  0.557
Ag  0.569  0.500  0.139
Pt  0.714  0.000  0.429